Record 1
! PBE SrBe2TcS, optimized geometry; values from VASP
&SYSTEM
  ibrav = 0, nat = 5, ntyp = 4
/
ATOMIC_SPECIES
Sr 87.62 Sr.upf
S 32.06 S.upf
Tc 98.00 Tc.upf
Be 9.01 Be.upf
CELL_PARAMETERS angstrom
-3.298 -1.055 -2.530
1.451 -6.174 0.682
-2.561 -0.223 3.432
ATOMIC_POSITIONS angstrom
Sr 0.726 -3.087 0.341
S -2.204 -3.726 0.792
Tc 0.000 0.000 0.000
Be -1.281 -0.111 1.716
Be -1.649 -0.527 -1.265
! **Formation energy from raw total energies**: 0.73 eV/atom
! **Total magnetization**: 2.1 μB per cell
! **E_tot**: -19.96 eV for the cell shown

***

Record 2
! PBE Sr2UBeS5, optimized geometry; values from VASP
&SYSTEM
  ibrav = 0, nat = 18, ntyp = 4
/
ATOMIC_SPECIES
Sr 87.62 Sr.upf
U 238.03 U.upf
Be 9.01 Be.upf
S 32.06 S.upf
CELL_PARAMETERS angstrom
-3.100 0.467 2.396
-3.757 -2.064 -7.707
0.497 -12.108 3.001
ATOMIC_POSITIONS angstrom
Sr -5.208 -11.330 -1.282
Sr -0.869 -8.775 0.585
Sr -1.064 -4.528 -0.494
Sr -5.551 -3.483 -3.254
U -4.533 -7.270 -1.200
U -2.049 -1.041 -2.448
Be -1.743 -11.108 3.158
Be -4.451 -6.671 -4.459
S -3.681 -1.461 -4.477
S -3.074 -11.052 1.424
S -1.189 -9.178 3.498
S -2.863 -9.277 -1.897
S -6.173 -7.576 -3.262
S -2.913 -6.568 0.760
S -3.161 -5.710 -2.977
S -5.145 -5.171 -5.649
S -3.572 -2.614 -0.863
S -0.430 -0.223 -0.512
! **Formation energy from raw total energies**: -1.61 eV/atom
! **Total magnetization**: 4.0 μB per cell
! **E_tot**: -107.06 eV for the cell shown

***

Record 3
! PBE Sr2YBeS, optimized geometry; values from VASP
&SYSTEM
  ibrav = 0, nat = 5, ntyp = 4
/
ATOMIC_SPECIES
Y 88.91 Y.upf
Sr 87.62 Sr.upf
S 32.06 S.upf
Be 9.01 Be.upf
CELL_PARAMETERS angstrom
6.693 0.000 0.000
0.000 3.833 0.000
0.000 0.000 6.693
ATOMIC_POSITIONS angstrom
Y 3.347 1.916 3.347
Sr 0.000 0.000 3.347
Sr 3.347 0.000 0.000
S 0.000 1.916 0.000
Be 0.000 0.000 0.000
! **Formation energy from raw total energies**: 0.18 eV/atom
! **Total magnetization**: 0.0 μB per cell
! **E_tot**: -16.80 eV for the cell shown